AcLa3Te6 after structural relaxation. Source: Alexandria, functional PBE.

```
AcLa3Te6
1.0
4.6469 0.0000 0.0000
0.0000 12.9667 -0.0101
0.0000 -4.3439 12.6912
Ac La Te
2 6 12
direct
0.7500 0.0480 0.6942
0.2500 0.9520 0.3058
0.7500 0.4380 0.8317
0.2500 0.5620 0.1683
0.7500 0.6815 0.5023
0.2500 0.3185 0.4977
0.7500 0.1582 0.0831
0.2500 0.8418 0.9169
0.7500 0.4843 0.6146
0.2500 0.5157 0.3854
0.7500 0.9143 0.0978
0.2500 0.0857 0.9022
0.7500 0.3938 0.0565
0.2500 0.6062 0.9435
0.7500 0.7406 0.2758
0.2500 0.2594 0.7242
0.7500 0.1170 0.4654
0.2500 0.8830 0.5346
0.7500 0.8073 0.7508
0.2500 0.1927 0.2492
```

Computed properties:
space group: No. 11
formation energy without anion corrections: -1.58 eV per atom


AcLa2Te5 after structural relaxation. Source: Alexandria, functional PBE.

```
AcLa2Te5
1.0
8.5419 0.0000 0.0000
0.0000 8.5419 0.0000
-4.2710 -4.2710 7.3103
Ac La Te
2 4 10
direct
0.7500 0.7500 0.5000
0.2500 0.2500 0.5000
0.1520 0.3480 0.0000
0.6520 0.1520 0.0000
0.3480 0.8480 0.0000
0.8480 0.6520 0.0000
0.5053 0.6985 0.7038
0.8015 0.9947 0.2962
0.0000 0.0000 0.0000
0.5000 0.5000 0.0000
0.1985 0.0053 0.7038
0.6985 0.1985 0.7038
0.0053 0.5053 0.7038
0.3015 0.8015 0.2962
0.9947 0.4947 0.2962
0.4947 0.3015 0.2962
```

Computed properties:
space group: No. 140
formation energy without anion corrections: -1.44 eV per atom